Below is a geometry-optimized ErHgPdRh structure, with properties calculated at the PBE level.

a b c (Å): 4.721 4.721 4.721
angles (deg): 60.00 60.00 60.00
Sites, in units of the cell vectors:
Hg1 0.250 0.250 0.250
Pd1 0.000 0.000 0.000
Rh1 0.500 0.500 0.500
Er1 0.750 0.750 0.750

Output
- Fermi-level density of states: 1.82 states/eV/f.u.
- DFT total energy: -19.9 eV per cell
- SG: F-43m